1.
# Ac4ReI5, optimized geometry, DFT PBE
# **Theoretical density**: 6.39 g/cm³
# **M_tot**: 0.000 μB per cell
# **Formation energy without anion corrections**: -0.975 eV/atom
data_Ac4ReI5
_chemical_formula_sum 'Ac4 Re1 I5'
_cell_length_a 4.5557
_cell_length_b 9.8043
_cell_length_c 10.6188
_cell_angle_alpha 103.89
_cell_angle_beta 102.39
_cell_angle_gamma 90.00
_symmetry_space_group_name_H-M 'P 1'
_symmetry_Int_Tables_number 1
_symmetry_space_group_name_Hall 'P 1'
loop_
_atom_site_label
_atom_site_fract_x
_atom_site_fract_y
_atom_site_fract_z
_atom_site_occupancy
I1 0.8265 0.1605 0.6530 1
I2 0.5000 0.5000 0.0000 1
I3 0.1735 0.8395 0.3470 1
I4 0.1689 0.3414 0.3378 1
I5 0.8311 0.6586 0.6622 1
Ac1 0.6410 0.0777 0.2820 1
Ac2 0.3590 0.9223 0.7180 1
Ac3 0.0001 0.7888 0.0003 1
Ac4 0.9998 0.2112 0.9997 1
Re1 0.5000 0.0000 0.0000 1

***

2.
# TbGaAgRh, optimized geometry, DFT PBE
# **Theoretical density**: 9.82 g/cm³
# **M_tot**: 0.000 μB per cell
# **DFT formation energy**: -0.45 eV per atom
data_TbGaAgRh
_chemical_formula_sum 'Tb1 Ga1 Ag1 Rh1'
_cell_length_a 4.7188
_cell_length_b 4.7188
_cell_length_c 4.7188
_cell_angle_alpha 60.00
_cell_angle_beta 60.00
_cell_angle_gamma 60.00
_symmetry_space_group_name_H-M 'P 1'
_symmetry_Int_Tables_number 1
_symmetry_space_group_name_Hall 'P 1'
loop_
_atom_site_label
_atom_site_fract_x
_atom_site_fract_y
_atom_site_fract_z
_atom_site_occupancy
Ga1 0.2500 0.2500 0.2500 1
Rh1 0.0000 0.0000 0.0000 1
Tb1 0.7500 0.7500 0.7500 1
Ag1 0.5000 0.5000 0.5000 1

***

no.,total DFT energy (no corrections) (eV per atom)
1,-4.64
2,-4.91